Density functional theory data (PBE) for a relaxed structure of SrTlGe.

mass density	6.742	g/cm³
ΔH_f (0 K)	-0.34	eV/atom
energy relative to the lowest polymorph listed for this composition	0.0827	eV/atom
final energy	-3.23	eV per atom
SG	P3m1, No. 156
magnetic moment	0.0	μB per cell
DOS at the Fermi energy	1.251	states/eV/cell

Cell lengths 4.791, 4.653, 4.653 Å; angles 120.00, 90.00, 90.00 degrees
Element x y z (fractional)
Tl 0.251 0.333 0.667
Sr 0.681 0.667 0.333
Ge 0.068 0.000 0.000